# 1
! Be2Ni2Os PBE-GGA relaxed; values from VASP
! Fermi-level density of states, states/eV per atom: 0.75
! E_form, eV/atom: -0.222
! Theoretical density, g cm⁻³: 10.7
! Magnetic moment, μB per formula unit: 0.0
&SYSTEM
  ibrav = 0, nat = 10, ntyp = 3
/
ATOMIC_SPECIES
Be 9.01 Be.upf
Ni 58.69 Ni.upf
Os 190.23 Os.upf
CELL_PARAMETERS angstrom
6.309 0.000 0.000
0.000 6.309 0.000
0.000 0.000 2.550
ATOMIC_POSITIONS angstrom
Be 0.817 2.338 0.000
Be 2.338 5.492 0.000
Be 3.971 0.817 0.000
Be 5.492 3.971 0.000
Ni 1.041 4.195 1.275
Ni 2.114 1.041 1.275
Ni 4.195 5.268 1.275
Ni 5.268 2.114 1.275
Os 0.000 0.000 0.000
Os 3.154 3.154 0.000

=====

# 2
! Be2NiOs PBE-GGA relaxed; values from VASP
! Fermi-level density of states, states/eV per atom: 0.54
! E_form, eV/atom: -0.245
! Theoretical density, g cm⁻³: 11.0
! Magnetic moment, μB per formula unit: 0.0
&SYSTEM
  ibrav = 0, nat = 4, ntyp = 3
/
ATOMIC_SPECIES
Be 9.01 Be.upf
Ni 58.69 Ni.upf
Os 190.23 Os.upf
CELL_PARAMETERS angstrom
2.682 0.000 0.000
0.000 2.750 0.000
0.000 0.000 5.456
ATOMIC_POSITIONS angstrom
Be 0.000 0.000 1.241
Be 0.000 0.000 4.214
Ni 1.341 1.375 0.000
Os 1.341 1.375 2.728

=====

# 3
! Be2NiOs PBE-GGA relaxed; values from VASP
! Fermi-level density of states, states/eV per atom: 0.70
! E_form, eV/atom: -0.265
! Theoretical density, g cm⁻³: 10.9
! Magnetic moment, μB per formula unit: 0.0
&SYSTEM
  ibrav = 0, nat = 4, ntyp = 3
/
ATOMIC_SPECIES
Be 9.01 Be.upf
Ni 58.69 Ni.upf
Os 190.23 Os.upf
CELL_PARAMETERS angstrom
3.813 0.000 0.000
0.000 3.813 0.000
0.000 0.000 2.786
ATOMIC_POSITIONS angstrom
Be 0.000 1.906 0.000
Be 1.906 0.000 0.000
Ni 0.000 0.000 1.393
Os 1.906 1.906 1.393

=====

Repeat the second record exactly.
! Be2NiOs PBE-GGA relaxed; values from VASP
! Fermi-level density of states, states/eV per atom: 0.54
! E_form, eV/atom: -0.245
! Theoretical density, g cm⁻³: 11.0
! Magnetic moment, μB per formula unit: 0.0
&SYSTEM
  ibrav = 0, nat = 4, ntyp = 3
/
ATOMIC_SPECIES
Be 9.01 Be.upf
Ni 58.69 Ni.upf
Os 190.23 Os.upf
CELL_PARAMETERS angstrom
2.682 0.000 0.000
0.000 2.750 0.000
0.000 0.000 5.456
ATOMIC_POSITIONS angstrom
Be 0.000 0.000 1.241
Be 0.000 0.000 4.214
Ni 1.341 1.375 0.000
Os 1.341 1.375 2.728